No. 1
A plane-wave DFT calculation with PBE-GGA was carried out for an optimized crystal structure of CaAc2Sn3Rh4.

The density of states at the Fermi level is 0.742 states/eV/atom. The magnetization comes out at 0.00 μB/cell. As for the formation energy: -0.70 eV per atom.

The structure belongs to space group P-4m2 (No. 115); the cell edges are 4.4906, 4.4906 and 11.6432 Å and the angles 90.00°, 90.00° and 90.00°. The inequivalent atoms are Ca at (0.0000, 0.0000, 0.0000), Ac at (0.0000, 0.5000, 0.7400), Sn at (0.0000, 0.5000, 0.3783), Sn at (0.5000, 0.5000, 0.0000), Rh at (0.0000, 0.0000, 0.5000), Rh at (0.0000, 0.5000, 0.1490) and Rh at (0.5000, 0.5000, 0.5000).



No. 2
A plane-wave DFT calculation with PBE-GGA was carried out for an optimized crystal structure of YCoAu4.

The density of states at the Fermi level is 1.254 states/eV/atom. The magnetization comes out at 5.32 μB/cell. As for the formation energy: -0.10 eV per atom.

The structure belongs to space group F-43m (No. 216); the cell edges are 7.7676, 7.7676 and 7.7676 Å and the angles 90.00°, 90.00° and 90.00°. The inequivalent atoms are Y at (0.0000, 0.0000, 0.0000), Co at (0.2500, 0.2500, 0.2500) and Au at (0.1245, 0.1245, 0.6245).



No. 3
A plane-wave DFT calculation with PBE-GGA was carried out for an optimized crystal structure of ErThPa4.

The density of states at the Fermi level is 2.303 states/eV/atom. The magnetization comes out at 0.00 μB/cell. As for the formation energy: 0.16 eV per atom.

The structure belongs to space group F-43m (No. 216); the cell edges are 8.6617, 8.6617 and 8.6617 Å and the angles 90.00°, 90.00° and 90.00°. The inequivalent atoms are Er at (0.0000, 0.0000, 0.0000), Th at (0.2500, 0.2500, 0.2500) and Pa at (0.1249, 0.1249, 0.6249).